## TmLu3C (GGA-PBE)

Data for a relaxed TmLu3C crystal.

Cell lengths 4.919, 4.919, 4.919 Å; angles 90.00, 90.00, 90.00 degrees
Fractional coordinates of all 5 atoms:
C1 0.000 0.000 0.000
Lu1 0.000 0.500 0.000
Lu2 0.000 0.000 0.500
Lu3 0.500 0.000 0.000
Tm1 0.500 0.500 0.500

Results
As for the space group: Pm-3m. For the volume, the calculation gives 23.81 Å³ per atom. The energy of formation from the pure elements comes out at -0.0557 eV per atom.